Entry 1:
8
Lattice="2.4858 1.4352 15.9073 -2.4858 1.4352 15.9073 0.0000 -2.8704 15.9073" Properties=species:S:1:pos:R:3 comment="Ba4Te3Br (PBE, optimized geometry)" polymorph_energy_ev_per_atom=0.012 dos_at_fermi_per_ev_cell=2.74 m_tot_mub_per_cell=0.00 energy_ev_per_atom=-4.10 raw_formation_energy_ev_per_fu=-13.98 pbc="T T T"
Ba 0.0000 0.0000 5.9312
Ba 0.0000 0.0000 17.8642
Ba 0.0000 0.0000 29.8576
Ba 0.0000 0.0000 41.7907
Te 0.0000 0.0000 12.0714
Te 0.0000 0.0000 23.8609
Te 0.0000 0.0000 35.6505
Br 0.0000 0.0000 0.0000

Entry 2:
10
Lattice="6.0821 0.0000 0.0000 0.0000 6.0821 0.0000 0.0000 0.0000 11.0219" Properties=species:S:1:pos:R:3 comment="Ba2TeBr2 (PBE, optimized geometry)" polymorph_energy_ev_per_atom=0.324 m_tot_mub_per_cell=0.00 energy_ev_per_atom=-3.77 raw_formation_energy_ev_per_fu=-8.51 pbc="T T T"
Ba 0.0000 3.0411 2.7555
Ba 0.0000 3.0411 8.2664
Ba 3.0411 0.0000 2.7555
Ba 3.0411 0.0000 8.2664
Te 0.0000 0.0000 0.0000
Te 3.0411 3.0411 5.5110
Br 0.0000 0.0000 3.8581
Br 0.0000 0.0000 7.1639
Br 3.0411 3.0411 1.6529
Br 3.0411 3.0411 9.3690

Entry 3:
12
Lattice="8.0832 0.0000 0.0000 0.0000 8.0832 0.0000 0.0000 0.0000 8.0832" Properties=species:S:1:pos:R:3 comment="BaTeBr (PBE, optimized geometry)" polymorph_energy_ev_per_atom=0.383 dos_at_fermi_per_ev_cell=19.50 m_tot_mub_per_cell=4.17 energy_ev_per_atom=-3.51 raw_formation_energy_ev_per_fu=-3.79 pbc="T T T"
Ba 0.0000 0.0000 0.0000
Ba 0.0000 4.0416 4.0416
Ba 4.0416 0.0000 4.0416
Ba 4.0416 4.0416 0.0000
Te 2.0208 2.0208 2.0208
Te 2.0208 6.0624 6.0624
Te 6.0624 2.0208 6.0624
Te 6.0624 6.0624 2.0208
Br 2.0208 2.0208 6.0624
Br 2.0208 6.0624 2.0208
Br 6.0624 2.0208 2.0208
Br 6.0624 6.0624 6.0624